Model A:
# CePm2Er5

Crystalline CePm2Er5 at its relaxed geometry (GGA-PBE, Alexandria).

Cell and atoms, written as POSCAR:
```
CePm2Er5
1.0
-0.5886 -3.4182 0.7270
6.8724 -0.8977 1.3433
-3.1558 4.6364 19.2431
Ce Pm Er
2 4 10
direct
0.0000 0.0000 0.5000
0.0000 0.5000 0.0000
0.5000 0.7507 0.3755
0.5000 0.2493 0.6245
0.5000 0.7493 0.8755
0.5000 0.2507 0.1245
0.0000 0.0000 0.0000
0.0000 0.5000 0.5000
0.0000 0.5035 0.7498
0.0000 0.4965 0.2502
0.0000 0.9965 0.2498
0.0000 0.0035 0.7502
0.5000 0.2547 0.8758
0.5000 0.7453 0.1242
0.5000 0.2453 0.3758
0.5000 0.7547 0.6242
```

Summary:
Crystal system: orthorhombic

Model B:
# CePm2Er5

Crystalline CePm2Er5 at its relaxed geometry (GGA-PBE, Alexandria).

Cell and atoms, written as POSCAR:
```
CePm2Er5
1.0
9.0452 0.0000 -3.8696
-0.9899 5.9217 -2.3138
-0.8114 -1.8427 10.6100
Ce Pm Er
2 4 10
direct
0.0000 0.0000 0.5000
0.5000 0.5000 0.5000
0.1744 0.4524 0.8381
0.6637 0.9524 0.8381
0.8256 0.5476 0.1619
0.3363 0.0476 0.1619
0.4913 0.4395 0.8008
0.9436 0.7500 0.0000
0.0564 0.2500 0.0000
0.8928 0.6338 0.6047
0.1072 0.3662 0.3953
0.7118 0.1338 0.6047
0.2882 0.8662 0.3953
0.5087 0.5605 0.1992
0.3096 0.9395 0.8008
0.6904 0.0605 0.1992
```

Summary:
Crystal system: monoclinic

Quick one: most stable of them? model A

Model A:
# CePm3Er6

Crystalline CePm3Er6 at its relaxed geometry (GGA-PBE, Alexandria).

Cell and atoms, written as POSCAR:
```
CePm3Er6
1.0
-4.1237 -0.0367 -4.0510
3.2727 -8.7336 -3.2450
1.0107 1.6409 11.3422
Ce Pm Er
1 3 6
direct
0.5000 0.5000 0.0000
0.7597 0.3261 0.5067
0.2403 0.6739 0.4933
0.0000 0.0000 0.0000
0.2382 0.4267 0.1589
0.2744 0.7695 0.8494
0.7618 0.5733 0.8411
0.7256 0.2305 0.1506
0.2765 0.1038 0.5178
0.7235 0.8962 0.4822
```

Summary:
Crystal system: triclinic

Model B:
# CePm3Er6

Crystalline CePm3Er6 at its relaxed geometry (GGA-PBE, Alexandria).

Cell and atoms, written as POSCAR:
```
CePm3Er6
1.0
8.9647 0.0000 0.0000
0.0000 8.8788 -1.0385
0.0000 -2.9936 8.4232
Ce Pm Er
2 6 12
direct
0.0836 0.2733 0.7267
0.5836 0.7267 0.2733
0.4934 0.8119 0.6826
0.9934 0.6826 0.8119
0.3082 0.4469 0.5531
0.8082 0.5531 0.4469
0.9934 0.1881 0.3174
0.4934 0.3174 0.1881
0.1651 0.8221 0.5285
0.6651 0.5285 0.8221
0.3284 0.6747 0.9744
0.8284 0.9744 0.6747
0.1781 0.0498 0.9502
0.4414 0.2171 0.7829
0.9414 0.7829 0.2171
0.6781 0.9502 0.0498
0.3284 0.0256 0.3253
0.8284 0.3253 0.0256
0.1651 0.4715 0.1779
0.6651 0.1779 0.4715
```

Summary:
Crystal system: orthorhombic

Quick one: most stable of them? model B

Model A:
# CePm4Er

Crystalline CePm4Er at its relaxed geometry (GGA-PBE, Alexandria).

Cell and atoms, written as POSCAR:
```
CePm4Er
1.0
10.8347 0.0000 0.0000
0.0000 6.1626 0.9601
0.0000 1.1458 6.1384
Ce Pm Er
2 8 2
direct
0.0000 0.5000 0.5000
0.5000 0.5000 0.0000
0.6636 0.9996 0.0003
0.8364 0.9996 0.5003
0.3345 0.5004 0.4997
0.8345 0.4996 0.0003
0.1655 0.5004 0.9997
0.6655 0.4996 0.5003
0.1636 0.0004 0.4997
0.3364 0.0004 0.9997
0.5000 0.0000 0.5000
0.0000 0.0000 0.0000
```

Summary:
Crystal system: monoclinic

Model B:
# CePm4Er

Crystalline CePm4Er at its relaxed geometry (GGA-PBE, Alexandria).

Cell and atoms, written as POSCAR:
```
CePm4Er
1.0
-2.1778 5.0788 -3.7877
-9.9207 -5.8732 -2.1711
3.8838 2.5351 7.0911
Ce Pm Er
2 8 2
direct
0.5000 0.5000 0.0000
0.5000 0.0000 0.0000
0.8341 0.8393 0.6682
0.1718 0.6717 0.8435
0.6717 0.6717 0.8435
0.8341 0.3289 0.6682
0.1659 0.6711 0.3318
0.8282 0.3283 0.1565
0.3283 0.3283 0.1565
0.1659 0.1607 0.3318
0.5000 0.0000 0.5000
0.0000 0.0000 0.5000
```

Summary:
Crystal system: orthorhombic

Quick one: most stable of them? model A

Model A:
# CePmEr4

Crystalline CePmEr4 at its relaxed geometry (GGA-PBE, Alexandria).

Cell and atoms, written as POSCAR:
```
CePmEr4
1.0
3.5525 0.0000 0.0000
0.0000 6.0585 -1.2005
0.0000 1.2838 17.0665
Ce Pm Er
2 2 8
direct
0.5000 0.0000 0.5000
0.0000 0.0000 0.0000
0.0000 0.5000 0.5000
0.5000 0.5000 0.0000
0.5006 0.6140 0.3319
0.0006 0.3860 0.1681
0.4994 0.3860 0.6681
0.9994 0.6140 0.8319
0.0006 0.1089 0.3333
0.5006 0.8911 0.1667
0.9994 0.8911 0.6667
0.4994 0.1089 0.8333
```

Summary:
Crystal system: monoclinic

Model B:
# CePmEr4

Crystalline CePmEr4 at its relaxed geometry (GGA-PBE, Alexandria).

Cell and atoms, written as POSCAR:
```
CePmEr4
1.0
6.5251 -0.4737 0.0000
-2.8879 5.8703 0.0000
0.0000 0.0000 10.3740
Ce Pm Er
2 2 8
direct
0.0000 0.0000 0.0000
0.0000 0.0000 0.5000
0.1696 0.8304 0.7500
0.8304 0.1696 0.2500
0.6609 0.3391 0.9318
0.3391 0.6609 0.4318
0.3391 0.6609 0.0682
0.6609 0.3391 0.5682
0.3461 0.1654 0.2500
0.6539 0.8346 0.7500
0.1654 0.3461 0.7500
0.8346 0.6539 0.2500
```

Summary:
Crystal system: orthorhombic

Quick one: most stable of them? model A

Model A:
# CePmErTh

Crystalline CePmErTh at its relaxed geometry (GGA-PBE, Alexandria).

Cell and atoms, written as POSCAR:
```
CePmErTh
1.0
-3.4518 -0.3610 -0.7718
2.1809 -2.7964 -0.2556
-0.5885 -1.5139 11.5351
Ce Pm Er Th
1 1 1 1
direct
0.3035 0.5499 0.8695
0.9685 0.3821 0.3657
0.4739 0.1350 0.6237
0.1319 0.9637 0.1108
```

Summary:
Crystal system: trigonal

Model B:
# CePmErTh

Crystalline CePmErTh at its relaxed geometry (GGA-PBE, Alexandria).

Cell and atoms, written as POSCAR:
```
CePmErTh
1.0
5.6629 0.0000 0.0000
2.8315 4.9042 0.0000
2.8315 1.6347 4.6237
Pm Ce Th Er
1 1 1 1
direct
0.5000 0.5000 0.5000
0.0000 0.0000 0.0000
0.7500 0.7500 0.7500
0.2500 0.2500 0.2500
```

Summary:
Crystal system: cubic

Quick one: most stable of them? model A

Model A:
# CePr2Er

Crystalline CePr2Er at its relaxed geometry (GGA-PBE, Alexandria).

Cell and atoms, written as POSCAR:
```
CePr2Er
1.0
-0.7125 -3.9199 3.1343
4.5971 0.8359 2.0904
-2.1333 3.1362 3.4374
Pr Ce Er
2 1 1
direct
0.0000 0.0000 0.5000
0.0000 0.5000 0.0000
0.5000 0.0000 0.0000
0.5000 0.5000 0.5000
```

Summary:
Crystal system: tetragonal

Model B:
# CePr2Er

Crystalline CePr2Er at its relaxed geometry (GGA-PBE, Alexandria).

Cell and atoms, written as POSCAR:
```
CePr2Er
1.0
-1.5377 0.9447 -2.9850
-3.4797 0.0101 -0.2423
-1.9098 12.2762 2.8311
Pr Ce Er
2 1 1
direct
0.0882 0.0882 0.7355
0.9118 0.9118 0.2645
0.0000 0.0000 0.0000
0.5000 0.5000 0.5000
```

Summary:
Crystal system: trigonal

Quick one: most stable of them? model A

Model A:
# Ce2PrEr

Crystalline Ce2PrEr at its relaxed geometry (GGA-PBE, Alexandria).

Cell and atoms, written as POSCAR:
```
Ce2PrEr
1.0
-2.3650 4.9011 -1.6688
-0.9895 0.9466 -5.5249
-5.3416 0.0585 -1.9654
Pr Ce Er
1 2 1
direct
0.5000 0.5000 0.5000
0.2500 0.2500 0.2500
0.7500 0.7500 0.7500
0.0000 0.0000 0.0000
```

Summary:
Crystal system: cubic

Model B:
# Ce2PrEr

Crystalline Ce2PrEr at its relaxed geometry (GGA-PBE, Alexandria).

Cell and atoms, written as POSCAR:
```
Ce2PrEr
1.0
3.5085 0.0000 0.0000
1.7542 3.0384 0.0000
1.7542 1.0128 11.6574
Pr Ce Er
1 2 1
direct
0.5000 0.5000 0.5000
0.7481 0.7481 0.7557
0.2519 0.2519 0.2443
0.0000 0.0000 0.0000
```

Summary:
Crystal system: trigonal

Quick one: most stable of them? model B

Model A:
# CeErPt4

Crystalline CeErPt4 at its relaxed geometry (GGA-PBE, Alexandria).

Cell and atoms, written as POSCAR:
```
CeErPt4
1.0
5.4531 0.0000 0.0000
2.7266 4.7226 0.0000
2.7266 1.5742 4.4525
Ce Pt Er
1 4 1
direct
0.2500 0.2500 0.2500
0.6253 0.6253 0.1240
0.6253 0.1240 0.6253
0.6253 0.6253 0.6253
0.1240 0.6253 0.6253
0.0000 0.0000 0.0000
```

Summary:
Crystal system: cubic

Model B:
# CeErPt4

Crystalline CeErPt4 at its relaxed geometry (GGA-PBE, Alexandria).

Cell and atoms, written as POSCAR:
```
CeErPt4
1.0
4.1229 0.0000 -0.8453
0.0000 5.7582 0.0000
-0.0972 0.0000 10.0031
Ce Er Pt
2 2 8
direct
0.7239 0.2500 0.4478
0.2761 0.7500 0.5522
0.4229 0.2500 0.8458
0.5771 0.7500 0.1542
0.0000 0.0000 0.0000
0.0000 0.5000 0.0000
0.1486 0.0079 0.2972
0.8514 0.5079 0.7028
0.1486 0.4921 0.2972
0.8514 0.9921 0.7028
0.5721 0.2500 0.1441
0.4279 0.7500 0.8559
```

Summary:
Crystal system: orthorhombic

Quick one: most stable of them? model B